# 1
Computed, not measured: a geometry-optimized KSc2Br structure at the PBE-GGA level of DFT.

ΔE_f (raw) in eV per atom: -0.002

Lattice parameters (Å, degrees): 3.4450 6.9953 11.3921 90.00 90.00 90.00
Closest atoms and distances in Å follow each position.
Fractional positions:
K1 0.0000 0.0000 0.0000  2 Br 3.31, 2 K 3.44
K2 0.5000 0.5000 0.5000  2 Br 3.31, 2 K 3.44
Sc1 0.0000 0.0000 0.5649  2 Br 2.74
Sc2 0.0000 0.5000 0.8393  4 Sc 3.09-3.44
Sc3 0.5000 0.0000 0.3393  4 Sc 3.09-3.44
Sc4 0.5000 0.5000 0.0649  2 Br 2.74
Br1 0.0000 0.5000 0.2522  2 Sc 2.74
Br2 0.5000 0.0000 0.7522  2 Sc 2.74

=====

# 2
Computed, not measured: a geometry-optimized KSc2Br structure at the PBE-GGA level of DFT.

ΔE_f (raw) in eV per atom: 0.225

Lattice parameters (Å, degrees): 3.3713 6.0688 6.3308 90.00 90.00 90.00
Closest atoms and distances in Å follow each position.
Fractional positions:
K1 0.0000 0.0000 0.0000  2 Br 3.03, 2 K 3.37
Sc1 0.5000 0.2463 0.5000  2 Sc 2.99-3.08
Sc2 0.5000 0.7537 0.5000  2 Sc 2.99-3.08
Br1 0.0000 0.5000 0.0000  2 K 3.03, 2 Br 3.37

=====

# 3
Computed, not measured: a geometry-optimized KScBr2 structure at the PBE-GGA level of DFT.

ΔE_f (raw) in eV per atom: -1.018

Lattice parameters (Å, degrees): 3.9821 3.9821 7.8877 90.00 90.00 90.00
Closest atoms and distances in Å follow each position.
Fractional positions:
K1 0.0000 0.0000 0.0000  5 Br 3.29-3.52
Sc1 0.5000 0.5000 0.4381  5 Br 2.72-2.82
Br1 0.0000 0.0000 0.4462  4 Sc 2.82
Br2 0.5000 0.5000 0.7836  1 Sc 2.72

=====

no.,E above lowest polymorph (eV/atom)
1,0.391
2,0.618
3,0.097